Below is a relaxed structure of La2Si2P, with properties calculated at the PBE level.

```
La2Si2P
1.0
3.722 0.000 0.000
0.000 3.722 0.000
1.861 1.861 8.453
La Si P
2 2 1
Direct
0.598 0.598 0.804
0.402 0.402 0.196
0.750 0.250 0.500
0.250 0.750 0.500
0.000 0.000 0.000
```

Properties
M_tot (μB/cell): 0.00
Formation energy from raw total energies (meV/atom): -726
ΔE to the lowest computed polymorph (meV/atom): 0

---

Below is a relaxed structure of LaSiP2, with properties calculated at the PBE level.

```
LaSiP2
1.0
3.834 0.011 0.000
-0.011 3.834 0.000
0.000 0.000 6.343
P La Si
2 1 1
Direct
0.000 0.000 0.973
0.500 0.500 0.368
0.500 0.500 0.832
0.000 0.000 0.327
```

Properties
M_tot (μB/cell): 0.00
Formation energy from raw total energies (meV/atom): -416

---

Below is a relaxed structure of LaSiP2, with properties calculated at the PBE level.

```
LaSiP2
1.0
-2.229 -1.755 -3.315
-2.901 -1.100 2.533
-2.367 4.467 -0.773
P Si La
2 1 1
Direct
0.000 0.250 0.905
0.500 0.250 0.307
0.000 0.250 0.474
0.500 0.750 0.815
```

Properties
M_tot (μB/cell): 0.00
Formation energy from raw total energies (meV/atom): -566

---

Below is a relaxed structure of LaSi2P3, with properties calculated at the PBE level.

```
LaSi2P3
1.0
-0.767 -0.727 -6.200
-4.766 -1.207 3.921
-1.976 6.227 -0.485
P Si La
6 4 2
Direct
0.399 0.000 0.250
0.601 0.000 0.750
0.000 0.601 0.750
0.601 0.601 0.250
0.399 0.399 0.750
0.000 0.399 0.250
0.667 0.333 0.500
0.333 0.667 0.000
0.333 0.667 0.500
0.667 0.333 0.000
0.000 0.000 0.000
0.000 0.000 0.500
```

Properties
M_tot (μB/cell): 0.00
Formation energy from raw total energies (meV/atom): -224
ΔE to the lowest computed polymorph (meV/atom): 0

---

Below is a relaxed structure of LaSiP, with properties calculated at the PBE level.

```
LaSiP
1.0
-2.355 -1.622 3.762
1.398 -3.982 2.126
1.982 0.180 4.286
P Si La
1 1 1
Direct
0.750 0.750 0.750
0.000 0.000 0.000
0.500 0.500 0.500
```

Properties
M_tot (μB/cell): 0.00
Formation energy from raw total energies (meV/atom): -311
ΔE to the lowest computed polymorph (meV/atom): 672

---

Below is a relaxed structure of La3SiP5, with properties calculated at the PBE level.

```
La3SiP5
1.0
-4.582 -7.334 -1.409
-1.047 -3.549 7.942
-1.648 8.258 -2.420
P La Si
10 6 2
Direct
0.870 0.640 0.252
0.870 0.118 0.730
0.000 0.000 0.000
0.000 0.500 0.500
0.612 0.860 0.730
0.130 0.360 0.748
0.612 0.382 0.252
0.388 0.618 0.748
0.130 0.882 0.270
0.388 0.140 0.270
0.573 0.250 0.823
0.218 0.470 0.248
0.782 0.530 0.752
0.427 0.750 0.177
0.778 0.030 0.248
0.222 0.970 0.752
0.186 0.250 0.436
0.814 0.750 0.564
```

Properties
M_tot (μB/cell): 0.00
Formation energy from raw total energies (meV/atom): -724

---

Below is a relaxed structure of LaSi2Tc2P, with properties calculated at the PBE level.

```
LaSi2Tc2P
1.0
-4.151 -1.462 -0.548
1.461 -4.186 0.102
-0.690 -0.107 5.508
Tc Si La P
2 2 1 1
Direct
0.500 0.000 0.000
0.000 0.500 0.000
0.500 0.500 0.277
0.500 0.500 0.723
0.000 0.000 0.500
0.000 0.000 0.000
```

Properties
M_tot (μB/cell): 0.00
Formation energy from raw total energies (meV/atom): -454

---

Below is a relaxed structure of La2SiTeP, with properties calculated at the PBE level.

```
La2SiTeP
1.0
5.570 0.000 0.000
0.000 5.157 0.000
0.000 0.000 5.570
La Si P Te
2 1 1 1
Direct
0.500 0.000 0.000
0.000 0.000 0.500
0.500 0.500 0.500
0.000 0.000 0.000
0.000 0.500 0.000
```

Properties
M_tot (μB/cell): 0.00
Formation energy from raw total energies (meV/atom): -272

---

Below is a relaxed structure of La4SiTe2P, with properties calculated at the PBE level.

```
La4SiTe2P
1.0
4.423 0.000 0.000
0.000 7.655 0.130
0.000 -2.680 7.403
La Te P Si
4 2 1 1
Direct
0.000 0.258 0.777
0.000 0.742 0.223
0.500 0.239 0.219
0.500 0.761 0.781
0.500 0.000 0.500
0.000 0.500 0.500
0.000 0.000 0.000
0.500 0.500 0.000
```

Properties
M_tot (μB/cell): 0.00
Formation energy from raw total energies (meV/atom): -1430

---

Below is a relaxed structure of LaSmP, with properties calculated at the PBE level.

```
LaSmP
1.0
5.782 0.000 0.000
0.000 6.718 -0.789
0.000 -3.599 5.727
La Sm P
2 2 2
Direct
0.250 0.705 0.295
0.750 0.295 0.705
0.000 0.000 0.000
0.500 0.000 0.000
0.750 0.796 0.204
0.250 0.204 0.796
```

Properties
M_tot (μB/cell): 0.52
Formation energy (eV per atom): -0.5578

---

Below is a relaxed structure of La5SmP6, with properties calculated at the PBE level.

```
La5SmP6
1.0
7.275 0.177 1.105
1.787 6.168 3.596
0.122 0.066 7.358
La P Sm
5 6 1
Direct
0.000 0.333 0.333
0.500 0.167 0.666
0.000 0.667 0.667
0.500 0.500 0.000
0.500 0.833 0.334
0.753 0.411 0.671
0.752 0.754 0.000
0.247 0.918 0.671
0.248 0.246 0.000
0.247 0.589 0.329
0.753 0.082 0.329
0.000 0.000 0.000
```

Properties
M_tot (μB/cell): 0.00
Formation energy (eV per atom): -1.5721

---

Below is a relaxed structure of La5Sm3P8, with properties calculated at the PBE level.

```
La5Sm3P8
1.0
7.313 0.000 4.189
2.457 6.888 4.189
0.028 0.019 8.429
P La Sm
8 5 3
Direct
0.250 0.250 0.745
0.753 0.753 0.742
0.247 0.247 0.258
0.750 0.750 0.255
0.245 0.750 0.255
0.755 0.250 0.745
0.250 0.755 0.745
0.750 0.245 0.255
0.500 0.000 0.000
0.500 0.500 0.000
0.000 0.500 0.000
0.000 0.000 0.000
0.500 0.500 0.500
0.000 0.500 0.500
0.500 0.000 0.500
0.000 0.000 0.500
```

Properties
M_tot (μB/cell): 0.00
Formation energy (eV per atom): -1.5672